1.
# AcMg2Zr (PBE-GGA, optimized geometry)
# **Offset from the most stable computed form**: 0.427 eV/f.u.
# **Energy of formation**: 190 meV/atom
# **Fermi-level density of states**: 1.10 states/eV per atom
data_AcMg2Zr
_chemical_formula_sum 'Ac1 Mg2 Zr1'
_symmetry_space_group_name_H-M 'P 4/m m m'
_symmetry_Int_Tables_number 123
_symmetry_space_group_name_Hall '-P 4 2'
_cell_length_a 5.371
_cell_length_b 5.371
_cell_length_c 3.834
_cell_angle_alpha 90.00
_cell_angle_beta 90.00
_cell_angle_gamma 90.00
loop_
_atom_site_label
_atom_site_type_symbol
_atom_site_fract_x
_atom_site_fract_y
_atom_site_fract_z
Ac1 Ac 0.000 0.000 0.000
Mg1 Mg 0.000 0.500 0.500
Zr1 Zr 0.500 0.500 0.000

2.
# ErScCdNi (PBE-GGA, optimized geometry)
# **Offset from the most stable computed form**: 0.000 eV/f.u.
# **Energy of formation**: -390 meV/atom
# **Fermi-level density of states**: 0.69 states/eV per atom
data_ErScCdNi
_chemical_formula_sum 'Er1 Sc1 Cd1 Ni1'
_symmetry_space_group_name_H-M 'P 4 m m'
_symmetry_Int_Tables_number 99
_symmetry_space_group_name_Hall 'P 4 -2'
_cell_length_a 3.336
_cell_length_b 3.336
_cell_length_c 7.373
_cell_angle_alpha 90.00
_cell_angle_beta 90.00
_cell_angle_gamma 90.00
loop_
_atom_site_label
_atom_site_type_symbol
_atom_site_fract_x
_atom_site_fract_y
_atom_site_fract_z
Er1 Er 0.000 0.000 0.000
Sc1 Sc 0.000 0.000 0.578
Cd1 Cd 0.500 0.500 0.306
Ni1 Ni 0.500 0.500 0.766

3.
# ZrTc2SnH (PBE-GGA, optimized geometry)
# **VASP energy**: -7.47 eV per atom
# **Fermi-level density of states**: 0.87 states/eV per atom
data_ZrTc2SnH
_chemical_formula_sum 'Zr1 Tc2 Sn1 H1'
_symmetry_space_group_name_H-M 'P 4/m m m'
_symmetry_Int_Tables_number 123
_symmetry_space_group_name_Hall '-P 4 2'
_cell_length_a 4.256
_cell_length_b 4.256
_cell_length_c 3.991
_cell_angle_alpha 90.00
_cell_angle_beta 90.00
_cell_angle_gamma 90.00
loop_
_atom_site_label
_atom_site_type_symbol
_atom_site_fract_x
_atom_site_fract_y
_atom_site_fract_z
Zr1 Zr 0.000 0.000 0.000
Tc1 Tc 0.000 0.500 0.500
Sn1 Sn 0.500 0.500 0.000
H1 H 0.000 0.000 0.500

4.
# PrSm2OsC2 (PBE-GGA, optimized geometry)
# **Energy of formation**: -91 meV/atom
# **Fermi-level density of states**: 0.66 states/eV per atom
data_PrSm2OsC2
_chemical_formula_sum 'Pr2 Sm4 Os2 C4'
_symmetry_space_group_name_H-M 'P n n m'
_symmetry_Int_Tables_number 58
_symmetry_space_group_name_Hall '-P 2 2n'
_cell_length_a 5.755
_cell_length_b 11.294
_cell_length_c 3.898
_cell_angle_alpha 90.00
_cell_angle_beta 90.00
_cell_angle_gamma 90.00
loop_
_atom_site_label
_atom_site_type_symbol
_atom_site_fract_x
_atom_site_fract_y
_atom_site_fract_z
Pr1 Pr 0.000 0.000 0.000
Sm1 Sm 0.030 0.296 0.500
Os1 Os 0.000 0.500 0.000
C1 C 0.248 0.882 0.500

5.
# Fe3Pd7Au (PBE-GGA, optimized geometry)
# **Energy of formation**: 192 meV/atom
# **Fermi-level density of states**: 0.71 states/eV per atom
data_Fe3Pd7Au
_chemical_formula_sum 'Fe6 Pd14 Au2'
_symmetry_space_group_name_H-M 'C 1 2/m 1'
_symmetry_Int_Tables_number 12
_symmetry_space_group_name_Hall '-C 2y'
_cell_length_a 8.495
_cell_length_b 9.189
_cell_length_c 5.099
_cell_angle_alpha 90.00
_cell_angle_beta 114.76
_cell_angle_gamma 90.00
loop_
_atom_site_label
_atom_site_type_symbol
_atom_site_fract_x
_atom_site_fract_y
_atom_site_fract_z
Fe1 Fe 0.000 0.000 0.000
Fe2 Fe 0.000 0.229 0.500
Pd1 Pd 0.000 0.500 0.500
Pd2 Pd 0.176 0.000 0.558
Pd3 Pd 0.176 0.230 0.188
Au1 Au 0.000 0.500 0.000

6.
# SnPbBr6 (PBE-GGA, optimized geometry)
# **Formation energy without anion corrections**: -65.55 kJ/mol of atoms
data_SnPbBr6
_chemical_formula_sum 'Sn2 Pb2 Br12'
_symmetry_space_group_name_H-M 'C 1 2/m 1'
_symmetry_Int_Tables_number 12
_symmetry_space_group_name_Hall '-C 2y'
_cell_length_a 7.107
_cell_length_b 12.665
_cell_length_c 7.044
_cell_angle_alpha 90.00
_cell_angle_beta 106.38
_cell_angle_gamma 90.00
loop_
_atom_site_label
_atom_site_type_symbol
_atom_site_fract_x
_atom_site_fract_y
_atom_site_fract_z
Sn1 Sn 0.000 0.000 0.000
Pb1 Pb 0.000 0.500 0.500
Br1 Br 0.214 0.151 0.223
Br2 Br 0.241 0.000 0.772